Computed, not measured: crystalline PaRh2Pb at its relaxed geometry at the PBE level of DFT.

The structure belongs to space group P4/mmm (No. 123); the cell edges are 3.496, 3.496 and 6.949 Å and the angles 90.00°, 90.00° and 90.00°. The distinct sites, in fractional coordinates, are Pa at (0.000, 0.000, 0.000), Rh at (0.500, 0.500, 0.205) and Pb at (0.000, 0.000, 0.500).

The value obtained for the excess energy over the best structure of this formula in the dataset is 9.5 meV/atom. Its total magnetization is 0.00 μB per cell. The calculation puts the calculated density at 12.6 g cm⁻³. The value obtained for the volume is 21.2 A^3/atom. As for the formation energy: -43.72 kJ per mole of atoms.

Computed, not measured: crystalline LiYCl2 at its relaxed geometry at the PBE level of DFT.

The structure belongs to space group Cm (No. 8); the cell edges are 14.140, 3.433 and 3.561 Å and the angles 90.00°, 90.11° and 90.00°. The distinct sites, in fractional coordinates, are Li at (0.000, 0.000, 0.000), Y at (0.206, 0.000, 0.502), Cl at (0.037, 0.500, 0.500) and Cl at (0.326, 0.500, 0.002).

The value obtained for the excess energy over the best structure of this formula in the dataset is 168.4 meV/atom. Its total magnetization is 2.09 μB per cell. The calculation puts the calculated density at 3.2 g cm⁻³. The value obtained for the volume is 21.6 A^3/atom.

Computed, not measured: crystalline NaInAu at its relaxed geometry at the PBE level of DFT.

The structure belongs to space group Cmcm (No. 63); the cell edges are 4.552, 10.856 and 5.949 Å and the angles 90.00°, 90.00° and 90.00°. The distinct sites, in fractional coordinates, are Na at (0.000, 0.208, 0.250), In at (0.000, 0.500, 0.000) and Au at (0.000, 0.093, 0.750).

Its total magnetization is 0.00 μB per cell. The calculation puts the calculated density at 7.6 g cm⁻³. The value obtained for the volume is 24.5 A^3/atom. As for the formation energy: -23.82 kJ per mole of atoms.

Computed, not measured: crystalline SbSCl3 at its relaxed geometry at the PBE level of DFT.

The structure belongs to space group P2_1/m (No. 11); the cell edges are 6.846, 9.337 and 7.334 Å and the angles 90.00°, 112.15° and 90.00°. The distinct sites, in fractional coordinates, are Sb at (0.169, 0.250, 0.367), S at (0.246, 0.250, 0.690), Cl at (0.188, 0.750, 0.837) and Cl at (0.289, 0.059, 0.233).

The value obtained for the excess energy over the best structure of this formula in the dataset is 0.0 meV/atom. Its total magnetization is 0.22 μB per cell. The calculation puts the calculated density at 2.0 g cm⁻³. The value obtained for the volume is 43.4 A^3/atom.

Computed, not measured: crystalline PmSmCo2 at its relaxed geometry at the PBE level of DFT.

The structure belongs to space group P4/mmm (No. 123); the cell edges are 4.847, 4.847 and 3.439 Å and the angles 90.00°, 90.00° and 90.00°. The distinct sites, in fractional coordinates, are Pm at (0.000, 0.000, 0.000), Sm at (0.500, 0.500, 0.000) and Co at (0.000, 0.500, 0.500).

The value obtained for the excess energy over the best structure of this formula in the dataset is 103.2 meV/atom. Its total magnetization is 0.83 μB per cell. The calculation puts the calculated density at 8.5 g cm⁻³. The value obtained for the volume is 20.2 A^3/atom. As for the formation energy: 0.21 kJ per mole of atoms.

Computed, not measured: crystalline NaSc2Cu at its relaxed geometry at the PBE level of DFT.

The structure belongs to space group Fm-3m (No. 225); the cell edges are 6.903, 6.903 and 6.903 Å and the angles 90.00°, 90.00° and 90.00°. The distinct sites, in fractional coordinates, are Na at (0.000, 0.000, 0.000), Sc at (0.250, 0.250, 0.250) and Cu at (0.000, 0.000, 0.500).

The value obtained for the excess energy over the best structure of this formula in the dataset is 0.0 meV/atom. Its total magnetization is 0.00 μB per cell. The calculation puts the calculated density at 3.6 g cm⁻³. The value obtained for the volume is 20.6 A^3/atom. As for the formation energy: 22.62 kJ per mole of atoms.

Computed, not measured: crystalline CaSc2InHg4 at its relaxed geometry at the PBE level of DFT.

The structure belongs to space group R-3m (No. 166, hexagonal axes); the cell edges are 5.0644, 5.0644 and 25.2098 Å and the angles 90.00°, 90.00° and 120.00°. The distinct sites, in fractional coordinates, are Ca at (0.0000, 0.0000, 0.0000), Sc at (0.0000, 0.0000, 0.2446), In at (0.0000, 0.0000, 0.5000), Hg at (0.0000, 0.0000, 0.1220) and Hg at (0.0000, 0.0000, 0.3714).

Its total magnetization is 0.00 μB per cell. The calculation puts the calculated density at 9.3 g cm⁻³. The value obtained for the volume is 23.3 A^3/atom. As for the formation energy: -32.16 kJ per mole of atoms.

Computed, not measured: crystalline Pm4GeRu at its relaxed geometry at the PBE level of DFT.

The structure belongs to space group C2/c (No. 15); the cell edges are 9.026, 13.578 and 6.365 Å and the angles 90.00°, 120.68° and 90.00°. The distinct sites, in fractional coordinates, are Pm at (0.121, 0.181, 0.088), Pm at (0.211, 0.437, 0.302), Ge at (0.000, 0.370, 0.750) and Ru at (0.000, 0.000, 0.250).

The value obtained for the excess energy over the best structure of this formula in the dataset is 0.0 meV/atom. Its total magnetization is 0.00 μB per cell. The calculation puts the calculated density at 7.5 g cm⁻³. The value obtained for the volume is 28.0 A^3/atom. As for the formation energy: -40.19 kJ per mole of atoms.

Computed, not measured: crystalline BeCd3Os at its relaxed geometry at the PBE level of DFT.

The structure belongs to space group Pm-3m (No. 221); the cell edges are 4.521, 4.521 and 4.521 Å and the angles 90.00°, 90.00° and 90.00°. The distinct sites, in fractional coordinates, are Be at (0.000, 0.000, 0.000), Cd at (0.000, 0.000, 0.500) and Os at (0.500, 0.500, 0.500).

The value obtained for the excess energy over the best structure of this formula in the dataset is 0.0 meV/atom. Its total magnetization is 1.73 μB per cell. The calculation puts the calculated density at 9.6 g cm⁻³. The value obtained for the volume is 18.5 A^3/atom. As for the formation energy: 109.35 kJ per mole of atoms.

Computed, not measured: crystalline LiZrMo2 at its relaxed geometry at the PBE level of DFT.

The structure belongs to space group R-3m (No. 166, hexagonal axes); the cell edges are 2.8084, 2.8084 and 30.7084 Å and the angles 90.00°, 90.00° and 120.00°. The distinct sites, in fractional coordinates, are Li at (0.0000, 0.0000, 0.0000), Zr at (0.0000, 0.0000, 0.5000) and Mo at (0.0000, 0.0000, 0.2530).

The value obtained for the excess energy over the best structure of this formula in the dataset is 307.4 meV/atom. Its total magnetization is 0.00 μB per cell. The calculation puts the calculated density at 6.9 g cm⁻³. The value obtained for the volume is 17.5 A^3/atom. As for the formation energy: 48.08 kJ per mole of atoms.

Computed, not measured: crystalline TbPm5Tm12 at its relaxed geometry at the PBE level of DFT.

The structure belongs to space group C2/m (No. 12); the cell edges are 18.362, 10.584 and 6.124 Å and the angles 90.00°, 109.27° and 90.00°. The distinct sites, in fractional coordinates, are Tb at (0.000, 0.000, 0.000), Pm at (0.000, 0.500, 0.500), Pm at (0.166, 0.000, 0.499), Pm at (0.167, 0.500, 0.000), Tm at (0.000, 0.167, 0.500), Tm at (0.000, 0.331, 0.000), Tm at (0.166, 0.168, 0.999) and Tm at (0.167, 0.332, 0.500).

Its total magnetization is 0.00 μB per cell. The calculation puts the calculated density at 8.6 g cm⁻³. The value obtained for the volume is 31.2 A^3/atom. As for the formation energy: 2.18 kJ per mole of atoms.

Computed, not measured: crystalline ZrAlN2O at its relaxed geometry at the PBE level of DFT.

The structure belongs to space group P4/mmm (No. 123); the cell edges are 3.463, 3.463 and 5.744 Å and the angles 90.00°, 90.00° and 90.00°. The distinct sites, in fractional coordinates, are Zr at (0.000, 0.000, 0.000), Al at (0.000, 0.000, 0.500), N at (0.000, 0.500, 0.500) and O at (0.500, 0.500, 0.000).

The total energy is -0.4915 Ry/atom. Its total magnetization is 0.49 μB per cell. The calculation puts the calculated density at 3.9 g cm⁻³. The value obtained for the volume is 13.8 A^3/atom.

The highest calculated density belongs to which entry? PaRh2Pb

Look up the volume of the fourth one. 43.4 A^3/atom

volume of number 12 (ZrAlN2O)? 13.8 A^3/atom

Copy entry 1 word for word.
Computed, not measured: crystalline PaRh2Pb at its relaxed geometry at the PBE level of DFT.

The structure belongs to space group P4/mmm (No. 123); the cell edges are 3.496, 3.496 and 6.949 Å and the angles 90.00°, 90.00° and 90.00°. The distinct sites, in fractional coordinates, are Pa at (0.000, 0.000, 0.000), Rh at (0.500, 0.500, 0.205) and Pb at (0.000, 0.000, 0.500).

The value obtained for the excess energy over the best structure of this formula in the dataset is 9.5 meV/atom. Its total magnetization is 0.00 μB per cell. The calculation puts the calculated density at 12.6 g cm⁻³. The value obtained for the volume is 21.2 A^3/atom. As for the formation energy: -43.72 kJ per mole of atoms.